# TbDy2Th5 | Alexandria via LeMat-Bulk | PBE | optimized geometry
# Space group: Pbam, No. 55
# Fermi-level density of states (states/eV per cell): 25.68
# Energy of formation (meV per atom): 56
# E_tot (eV per cell): -101.0
data_TbDy2Th5
_chemical_formula_sum 'Tb2 Dy4 Th10'
_cell_length_a 5.0344
_cell_length_b 7.1376
_cell_length_c 14.3099
_cell_angle_alpha 90.00
_cell_angle_beta 90.00
_cell_angle_gamma 90.00
_space_group_name_H-M_alt 'P 1'
_space_group_IT_number 1
loop_
_space_group_symop_operation_xyz
'x,y,z'
loop_
_atom_site_label
_atom_site_type_symbol
_atom_site_fract_x
_atom_site_fract_y
_atom_site_fract_z
Dy1 Dy 0.5000 0.2505 0.6258
Th1 Th 0.0000 0.0000 0.0000
Th2 Th 0.0000 0.5007 0.2508
Dy2 Dy 0.5000 0.7505 0.8742
Tb1 Tb 0.0000 0.0000 0.5000
Th3 Th 0.0000 0.0007 0.2492
Tb2 Tb 0.0000 0.5000 0.0000
Dy3 Dy 0.5000 0.2495 0.1258
Th4 Th 0.0000 0.9993 0.7508
Th5 Th 0.5000 0.7544 0.1273
Th6 Th 0.5000 0.7456 0.6273
Th7 Th 0.5000 0.2544 0.3727
Th8 Th 0.0000 0.5000 0.5000
Th9 Th 0.0000 0.4993 0.7492
Th10 Th 0.5000 0.2456 0.8727
Dy4 Dy 0.5000 0.7495 0.3742


# TbDy4Th3 | Alexandria via LeMat-Bulk | PBE | optimized geometry
# Space group: C2/m, No. 12
# Fermi-level density of states (states/eV per cell): 10.43
# Energy of formation (meV per atom): 29
# E_tot (eV per cell): -45.1
data_TbDy4Th3
_chemical_formula_sum 'Tb1 Dy4 Th3'
_cell_length_a 3.5718
_cell_length_b 6.1107
_cell_length_c 11.8063
_cell_angle_alpha 94.98
_cell_angle_beta 98.70
_cell_angle_gamma 90.00
_space_group_name_H-M_alt 'P 1'
_space_group_IT_number 1
loop_
_space_group_symop_operation_xyz
'x,y,z'
loop_
_atom_site_label
_atom_site_type_symbol
_atom_site_fract_x
_atom_site_fract_y
_atom_site_fract_z
Tb1 Tb 0.5000 0.0000 0.0000
Dy1 Dy 0.2496 0.2553 0.4991
Th1 Th 0.3756 0.6242 0.7513
Th2 Th 0.0000 0.5000 0.0000
Dy2 Dy 0.8756 0.1252 0.7512
Dy3 Dy 0.1244 0.8748 0.2488
Dy4 Dy 0.7504 0.7447 0.5009
Th3 Th 0.6244 0.3758 0.2487


# Tb8Dy3Th | Alexandria via LeMat-Bulk | PBE | optimized geometry
# Space group: I4/mmm, No. 139
# Fermi-level density of states (states/eV per cell): 16.11
# Energy of formation (meV per atom): 761
# E_tot (eV per cell): -49.1
data_Tb8Dy3Th
_chemical_formula_sum 'Tb8 Dy3 Th1'
_cell_length_a 7.7041
_cell_length_b 7.7041
_cell_length_c 9.4536
_cell_angle_alpha 114.05
_cell_angle_beta 114.05
_cell_angle_gamma 90.00
_space_group_name_H-M_alt 'P 1'
_space_group_IT_number 1
loop_
_space_group_symop_operation_xyz
'x,y,z'
loop_
_atom_site_label
_atom_site_type_symbol
_atom_site_fract_x
_atom_site_fract_y
_atom_site_fract_z
Tb1 Tb 0.1247 0.1247 0.7509
Tb2 Tb 0.1247 0.6262 0.7509
Tb3 Tb 0.3738 0.8753 0.2491
Dy1 Dy 0.5000 0.5000 0.0000
Dy2 Dy 0.7500 0.2500 0.5000
Th1 Th 0.0000 0.0000 0.0000
Tb4 Tb 0.6262 0.1247 0.7509
Tb5 Tb 0.6262 0.6262 0.7509
Tb6 Tb 0.8753 0.3738 0.2491
Tb7 Tb 0.8753 0.8753 0.2491
Dy3 Dy 0.2500 0.7500 0.5000
Tb8 Tb 0.3738 0.3738 0.2491


# Tb4DyTh | Alexandria via LeMat-Bulk | PBE | optimized geometry
# Space group: F-43m, No. 216
# Fermi-level density of states (states/eV per cell): 12.78
# Energy of formation (meV per atom): 326
# Offset from the most stable computed form (meV per atom): 301
# E_tot (eV per cell): -28.6
data_Tb4DyTh
_chemical_formula_sum 'Tb4 Dy1 Th1'
_cell_length_a 6.5446
_cell_length_b 6.5446
_cell_length_c 6.5446
_cell_angle_alpha 60.00
_cell_angle_beta 60.00
_cell_angle_gamma 60.00
_space_group_name_H-M_alt 'P 1'
_space_group_IT_number 1
loop_
_space_group_symop_operation_xyz
'x,y,z'
loop_
_atom_site_label
_atom_site_type_symbol
_atom_site_fract_x
_atom_site_fract_y
_atom_site_fract_z
Tb1 Tb 0.1263 0.6246 0.6246
Tb2 Tb 0.6246 0.1263 0.6246
Tb3 Tb 0.6246 0.6246 0.1263
Dy1 Dy 0.0000 0.0000 0.0000
Th1 Th 0.2500 0.2500 0.2500
Tb4 Tb 0.6246 0.6246 0.6246


Repeat the third record exactly.
# Tb8Dy3Th | Alexandria via LeMat-Bulk | PBE | optimized geometry
# Space group: I4/mmm, No. 139
# Fermi-level density of states (states/eV per cell): 16.11
# Energy of formation (meV per atom): 761
# E_tot (eV per cell): -49.1
data_Tb8Dy3Th
_chemical_formula_sum 'Tb8 Dy3 Th1'
_cell_length_a 7.7041
_cell_length_b 7.7041
_cell_length_c 9.4536
_cell_angle_alpha 114.05
_cell_angle_beta 114.05
_cell_angle_gamma 90.00
_space_group_name_H-M_alt 'P 1'
_space_group_IT_number 1
loop_
_space_group_symop_operation_xyz
'x,y,z'
loop_
_atom_site_label
_atom_site_type_symbol
_atom_site_fract_x
_atom_site_fract_y
_atom_site_fract_z
Tb1 Tb 0.1247 0.1247 0.7509
Tb2 Tb 0.1247 0.6262 0.7509
Tb3 Tb 0.3738 0.8753 0.2491
Dy1 Dy 0.5000 0.5000 0.0000
Dy2 Dy 0.7500 0.2500 0.5000
Th1 Th 0.0000 0.0000 0.0000
Tb4 Tb 0.6262 0.1247 0.7509
Tb5 Tb 0.6262 0.6262 0.7509
Tb6 Tb 0.8753 0.3738 0.2491
Tb7 Tb 0.8753 0.8753 0.2491
Dy3 Dy 0.2500 0.7500 0.5000
Tb8 Tb 0.3738 0.3738 0.2491


- What is the E_tot in the third record?
  -49.1 eV per cell